[1]
TaCr2Ni | Alexandria via LeMat-Bulk | PBE-GGA | optimized geometry; symmetry = F-43m; crystal system = cubic; E above lowest polymorph = 50.2 meV/atom; formation energy from the elements = 0.082 eV/atom
1.0
5.9893 0.0000 0.0000
0.0000 5.9893 0.0000
0.0000 0.0000 5.9893
Ta Cr Ni
4 8 4
direct
0.0000 0.0000 0.0000
0.0000 0.5000 0.5000
0.5000 0.0000 0.5000
0.5000 0.5000 0.0000
0.0000 0.0000 0.5000
0.0000 0.5000 0.0000
0.2500 0.2500 0.7500
0.2500 0.7500 0.2500
0.5000 0.0000 0.0000
0.5000 0.5000 0.5000
0.7500 0.2500 0.2500
0.7500 0.7500 0.7500
0.2500 0.2500 0.2500
0.2500 0.7500 0.7500
0.7500 0.2500 0.7500
0.7500 0.7500 0.2500



[2]
TaCr2Ni | Alexandria via LeMat-Bulk | PBE-GGA | optimized geometry; symmetry = Cmm2; crystal system = orthorhombic; E above lowest polymorph = 82.4 meV/atom; formation energy from the elements = 0.114 eV/atom
1.0
3.1089 0.0000 0.0000
0.0000 4.2217 0.0000
0.0000 0.0000 8.0384
Ta Cr Ni
2 4 2
direct
0.0000 0.0000 0.0000
0.5000 0.5000 0.0000
0.0000 0.0000 0.4946
0.0000 0.5000 0.7228
0.5000 0.0000 0.7228
0.5000 0.5000 0.4946
0.0000 0.5000 0.2635
0.5000 0.0000 0.2635



[3]
TaTiCrNi | Alexandria via LeMat-Bulk | PBE-GGA | optimized geometry; symmetry = F-43m; crystal system = cubic; formation energy from the elements = -0.127 eV/atom
1.0
6.1035 0.0000 0.0000
0.0000 6.1035 0.0000
0.0000 0.0000 6.1035
Ta Ti Cr Ni
4 4 4 4
direct
0.0000 0.0000 0.0000
0.0000 0.5000 0.5000
0.5000 0.0000 0.5000
0.5000 0.5000 0.0000
0.0000 0.0000 0.5000
0.0000 0.5000 0.0000
0.5000 0.0000 0.0000
0.5000 0.5000 0.5000
0.2500 0.2500 0.7500
0.2500 0.7500 0.2500
0.7500 0.2500 0.2500
0.7500 0.7500 0.7500
0.2500 0.2500 0.2500
0.2500 0.7500 0.7500
0.7500 0.2500 0.7500
0.7500 0.7500 0.2500



[4]
TaCrNi2W | Alexandria via LeMat-Bulk | PBE-GGA | optimized geometry; symmetry = P4/mmm; crystal system = tetragonal; formation energy from the elements = 2.026 eV/atom
1.0
4.4206 0.0000 0.0000
0.0000 4.4206 0.0000
0.0000 0.0000 4.7855
Ta Cr Ni W
1 1 2 1
direct
0.0000 0.0000 0.0000
0.5000 0.5000 0.5000
0.0000 0.5000 0.0000
0.5000 0.0000 0.0000
0.0000 0.0000 0.5000



[5]
TaCr2NiW | Alexandria via LeMat-Bulk | PBE-GGA | optimized geometry; symmetry = P4/mmm; crystal system = tetragonal; formation energy from the elements = 1.263 eV/atom
1.0
4.1645 0.0000 0.0000
0.0000 4.1645 0.0000
0.0000 0.0000 4.6108
Ta Cr Ni W
1 2 1 1
direct
0.0000 0.0000 0.0000
0.0000 0.5000 0.5000
0.5000 0.0000 0.5000
0.5000 0.5000 0.5000
0.5000 0.5000 0.0000



[6]
ZrTaCrNi | Alexandria via LeMat-Bulk | PBE-GGA | optimized geometry; symmetry = F-43m; crystal system = cubic; formation energy from the elements = -0.043 eV/atom
1.0
6.3003 0.0000 0.0000
0.0000 6.3003 0.0000
0.0000 0.0000 6.3003
Zr Ta Cr Ni
4 4 4 4
direct
0.0000 0.0000 0.0000
0.0000 0.5000 0.5000
0.5000 0.0000 0.5000
0.5000 0.5000 0.0000
0.0000 0.0000 0.5000
0.0000 0.5000 0.0000
0.5000 0.0000 0.0000
0.5000 0.5000 0.5000
0.2500 0.2500 0.2500
0.2500 0.7500 0.7500
0.7500 0.2500 0.7500
0.7500 0.7500 0.2500
0.2500 0.2500 0.7500
0.2500 0.7500 0.2500
0.7500 0.2500 0.2500
0.7500 0.7500 0.7500



[7]
TbCrNi4 | Alexandria via LeMat-Bulk | PBE-GGA | optimized geometry; symmetry = F-43m; crystal system = cubic; formation energy from the elements = -0.168 eV/atom
1.0
0.0000 3.4737 3.4737
3.4737 0.0000 3.4737
3.4737 3.4737 0.0000
Tb Cr Ni
1 1 4
direct
0.0000 0.0000 0.0000
0.2500 0.2500 0.2500
0.1280 0.6240 0.6240
0.6240 0.1280 0.6240
0.6240 0.6240 0.1280
0.6240 0.6240 0.6240



[8]
Tb2Cr2Ni15 | Alexandria via LeMat-Bulk | PBE-GGA | optimized geometry; symmetry = R-3m; crystal system = trigonal; formation energy from the elements = -0.193 eV/atom
1.0
4.1422 2.3915 4.0546
-4.1422 2.3915 4.0546
0.0000 -4.7829 4.0546
Tb Cr Ni
2 2 15
direct
0.1592 0.1592 0.1592
0.8408 0.8408 0.8408
0.4201 0.4201 0.4201
0.5799 0.5799 0.5799
0.0000 0.5000 0.5000
0.1590 0.1590 0.6546
0.1590 0.6546 0.1590
0.1972 0.5000 0.8028
0.1972 0.8028 0.5000
0.3454 0.8410 0.8410
0.5000 0.0000 0.5000
0.5000 0.1972 0.8028
0.5000 0.5000 0.0000
0.5000 0.8028 0.1972
0.6546 0.1590 0.1590
0.8028 0.1972 0.5000
0.8028 0.5000 0.1972
0.8410 0.3454 0.8410
0.8410 0.8410 0.3454



[9]
Cr2TcNi2 | Alexandria via LeMat-Bulk | PBE-GGA | optimized geometry; symmetry = P4/mbm; crystal system = tetragonal; E above lowest polymorph = 0.0 meV/atom; formation energy from the elements = 0.175 eV/atom
1.0
6.9142 0.0000 0.0000
0.0000 6.9142 0.0000
0.0000 0.0000 2.5178
Cr Tc Ni
4 2 4
direct
0.1747 0.3253 0.0000
0.3253 0.8253 0.0000
0.6747 0.1747 0.0000
0.8253 0.6747 0.0000
0.0000 0.0000 0.5000
0.5000 0.5000 0.5000
0.1219 0.6219 0.5000
0.3781 0.1219 0.5000
0.6219 0.8781 0.5000
0.8781 0.3781 0.5000



[10]
CrTcNi | Alexandria via LeMat-Bulk | PBE-GGA | optimized geometry; symmetry = Imm2; crystal system = orthorhombic; E above lowest polymorph = 58.7 meV/atom; formation energy from the elements = 0.094 eV/atom
1.0
2.4785 0.0000 0.0000
0.0000 3.8767 0.0000
0.0000 0.0000 7.7949
Cr Tc Ni
2 2 2
direct
0.0000 0.0000 0.0000
0.5000 0.5000 0.5000
0.0000 0.0000 0.3263
0.5000 0.5000 0.8263
0.0000 0.0000 0.6601
0.5000 0.5000 0.1601



[11]
CrTcNi2 | Alexandria via LeMat-Bulk | PBE-GGA | optimized geometry; symmetry = R-3m; crystal system = trigonal; E above lowest polymorph = 186.6 meV/atom; formation energy from the elements = 0.188 eV/atom
1.0
2.5786 0.0000 0.0000
-1.2893 2.2332 0.0000
0.0000 0.0000 25.3291
Cr Tc Ni
3 3 6
direct
0.0000 0.0000 0.0000
0.3333 0.6667 0.6667
0.6667 0.3333 0.3333
0.0000 0.0000 0.5000
0.3333 0.6667 0.1667
0.6667 0.3333 0.8333
0.0000 0.0000 0.2524
0.0000 0.0000 0.7476
0.3333 0.6667 0.4143
0.3333 0.6667 0.9190
0.6667 0.3333 0.0810
0.6667 0.3333 0.5857



[12]
CrTc2Ni2 | Alexandria via LeMat-Bulk | PBE-GGA | optimized geometry; symmetry = P4/mbm; crystal system = tetragonal; formation energy from the elements = 0.312 eV/atom
1.0
6.1826 0.0000 0.0000
0.0000 6.1826 0.0000
0.0000 0.0000 3.3646
Cr Tc Ni
2 4 4
direct
0.0000 0.0000 0.0000
0.5000 0.5000 0.0000
0.1680 0.3320 0.5000
0.3320 0.8320 0.5000
0.6680 0.1680 0.5000
0.8320 0.6680 0.5000
0.1310 0.6310 0.0000
0.3690 0.1310 0.0000
0.6310 0.8690 0.0000
0.8690 0.3690 0.0000



[13]
CrTcNi6 | Alexandria via LeMat-Bulk | PBE-GGA | optimized geometry; symmetry = Cmmm; crystal system = orthorhombic; E above lowest polymorph = 60.1 meV/atom; formation energy from the elements = 0.057 eV/atom
1.0
3.5948 -5.0794 0.0000
3.5948 5.0794 0.0000
0.0000 0.0000 10.1656
Cr Tc Ni
4 4 24
direct
0.0000 0.0000 0.2468
0.0000 0.0000 0.7532
0.2503 0.7497 0.0000
0.7497 0.2503 0.0000
0.2499 0.7501 0.5000
0.5000 0.5000 0.2465
0.5000 0.5000 0.7535
0.7501 0.2499 0.5000
0.0000 0.0000 0.0000
0.0000 0.0000 0.5000
0.1248 0.3749 0.1245
0.1252 0.3747 0.3744
0.1252 0.3747 0.6256
0.1248 0.3749 0.8755
0.2504 0.7496 0.2501
0.2504 0.7496 0.7499
0.3749 0.1248 0.1245
0.3747 0.1252 0.3744
0.3747 0.1252 0.6256
0.3749 0.1248 0.8755
0.5000 0.5000 0.0000
0.5000 0.5000 0.5000
0.6251 0.8752 0.1245
0.6253 0.8748 0.3744
0.6253 0.8748 0.6256
0.6251 0.8752 0.8755
0.7496 0.2504 0.2501
0.7496 0.2504 0.7499
0.8752 0.6251 0.1245
0.8748 0.6253 0.3744
0.8748 0.6253 0.6256
0.8752 0.6251 0.8755



[14]
CrTcNi2 | Alexandria via LeMat-Bulk | PBE-GGA | optimized geometry; symmetry = P4mm; crystal system = tetragonal; E above lowest polymorph = 63.1 meV/atom; formation energy from the elements = 0.065 eV/atom
1.0
3.0111 0.0000 0.0000
0.0000 3.0111 0.0000
0.0000 0.0000 5.3089
Cr Tc Ni
1 1 2
direct
0.0000 0.0000 0.0000
0.5000 0.5000 0.7438
0.0000 0.0000 0.4664
0.5000 0.5000 0.2447



[15]
CrTcNi2 | Alexandria via LeMat-Bulk | PBE-GGA | optimized geometry; symmetry = Fm-3m; crystal system = cubic; E above lowest polymorph = 337.1 meV/atom; formation energy from the elements = 0.339 eV/atom
1.0
5.7993 0.0000 0.0000
0.0000 5.7993 0.0000
0.0000 0.0000 5.7993
Cr Tc Ni
4 4 8
direct
0.0000 0.0000 0.0000
0.0000 0.5000 0.5000
0.5000 0.0000 0.5000
0.5000 0.5000 0.0000
0.0000 0.0000 0.5000
0.0000 0.5000 0.0000
0.5000 0.0000 0.0000
0.5000 0.5000 0.5000
0.2500 0.2500 0.2500
0.2500 0.2500 0.7500
0.2500 0.7500 0.2500
0.2500 0.7500 0.7500
0.7500 0.2500 0.2500
0.7500 0.2500 0.7500
0.7500 0.7500 0.2500
0.7500 0.7500 0.7500



[16]
CrTcNi6 | Alexandria via LeMat-Bulk | PBE-GGA | optimized geometry; symmetry = I4/mmm; crystal system = tetragonal; E above lowest polymorph = 0.0 meV/atom; formation energy from the elements = -0.003 eV/atom
1.0
3.5489 0.0000 0.0000
0.0000 3.5489 0.0000
0.0000 0.0000 14.4837
Cr Tc Ni
2 2 12
direct
0.0000 0.0000 0.0000
0.5000 0.5000 0.5000
0.0000 0.0000 0.5000
0.5000 0.5000 0.0000
0.0000 0.0000 0.2496
0.0000 0.0000 0.7504
0.0000 0.5000 0.1278
0.0000 0.5000 0.3722
0.0000 0.5000 0.6278
0.0000 0.5000 0.8722
0.5000 0.0000 0.1278
0.5000 0.0000 0.3722
0.5000 0.0000 0.6278
0.5000 0.0000 0.8722
0.5000 0.5000 0.2504
0.5000 0.5000 0.7496



[17]
CrTcNi2 | Alexandria via LeMat-Bulk | PBE-GGA | optimized geometry; symmetry = Cmcm; crystal system = orthorhombic; E above lowest polymorph = 155.5 meV/atom; formation energy from the elements = 0.157 eV/atom
1.0
2.4810 0.0000 0.0000
0.0000 18.6846 0.0000
0.0000 0.0000 4.2177
Cr Tc Ni
4 4 8
direct
0.0000 0.0896 0.2500
0.0000 0.9104 0.7500
0.5000 0.4104 0.7500
0.5000 0.5896 0.2500
0.0000 0.2789 0.7500
0.0000 0.7211 0.2500
0.5000 0.2211 0.2500
0.5000 0.7789 0.7500
0.0000 0.3494 0.2500
0.0000 0.4721 0.2500
0.0000 0.5279 0.7500
0.0000 0.6506 0.7500
0.5000 0.0279 0.7500
0.5000 0.1506 0.7500
0.5000 0.8494 0.2500
0.5000 0.9721 0.2500



[18]
CrTcNi2 | Alexandria via LeMat-Bulk | PBE-GGA | optimized geometry; symmetry = I4/mmm; crystal system = tetragonal; E above lowest polymorph = 23.1 meV/atom; formation energy from the elements = 0.025 eV/atom
1.0
3.5424 0.0000 0.0000
0.0000 3.5424 0.0000
0.0000 0.0000 7.6410
Cr Tc Ni
2 2 4
direct
0.0000 0.0000 0.0000
0.5000 0.5000 0.5000
0.0000 0.0000 0.5000
0.5000 0.5000 0.0000
0.0000 0.5000 0.2500
0.0000 0.5000 0.7500
0.5000 0.0000 0.2500
0.5000 0.0000 0.7500



[19]
CrTcNi2 | Alexandria via LeMat-Bulk | PBE-GGA | optimized geometry; symmetry = Pmm2; crystal system = orthorhombic; E above lowest polymorph = 0.0 meV/atom; formation energy from the elements = 0.002 eV/atom
1.0
2.5341 0.0000 0.0000
0.0000 4.1373 0.0000
0.0000 0.0000 4.5521
Cr Tc Ni
1 1 2
direct
0.0000 0.0000 0.0000
0.0000 0.5000 0.3199
0.5000 0.0000 0.5155
0.5000 0.5000 0.8179



[20]
CrTcNi | Alexandria via LeMat-Bulk | PBE-GGA | optimized geometry; symmetry = P3m1; crystal system = trigonal; E above lowest polymorph = 41.8 meV/atom; formation energy from the elements = 0.077 eV/atom
1.0
4.1624 0.0000 0.0000
-2.0812 3.6048 0.0000
0.0000 0.0000 2.4960
Cr Tc Ni
1 1 1
direct
0.0000 0.0000 0.0000
0.3333 0.6667 0.3443
0.6667 0.3333 0.8163